(1)
Compound: TePt15
Source: the Open Quantum Materials Database
Functional: PBE-GGA
Structure: relaxed

Summary:
E = -5.821 eV/atom
Density = 14.00 g cm⁻³
Distance to the lowest polymorph of the same formula = 21 meV per atom

Lattice parameters (Å, degrees): 4.828 32.931 4.824 90.00 109.18 90.00
Space group P2/c (No. 13)
Unique sites:
Te  0.000  0.176  0.250 [2 per cell]
Pt  0.000  0.218  0.750 [2 per cell]
Pt  0.000  0.264  0.250 [2 per cell]
Pt  0.000  0.307  0.750 [2 per cell]
Pt  0.000  0.350  0.250 [2 per cell]
Pt  0.000  0.393  0.750 [2 per cell]
Pt  0.000  0.436  0.250 [2 per cell]
Pt  0.000  0.479  0.750 [2 per cell]
Pt  0.500  0.180  0.750 [2 per cell]
Pt  0.500  0.218  0.250 [2 per cell]
Pt  0.500  0.264  0.750 [2 per cell]
Pt  0.500  0.307  0.250 [2 per cell]
Pt  0.500  0.350  0.750 [2 per cell]
Pt  0.500  0.393  0.250 [2 per cell]
Pt  0.500  0.436  0.750 [2 per cell]
Pt  0.500  0.479  0.250 [2 per cell]

(2)
Compound: TeWSe2SBr
Source: the Open Quantum Materials Database
Functional: PBE-GGA
Structure: relaxed

Summary:
E = -5.080 eV/atom
Density = 5.63 g cm⁻³
Distance to the lowest polymorph of the same formula = 82 meV per atom

Lattice parameters (Å, degrees): 6.440 7.950 8.200 111.53 113.09 96.41
Space group P-1 (No. 2)
Unique sites:
Te  0.125  0.333  0.160 [2 per cell]
W  0.226  0.001  0.001 [2 per cell]
Se  0.102  0.911  0.228 [2 per cell]
Se  0.330  0.801  0.715 [2 per cell]
S  0.465  0.771  0.994 [2 per cell]
Br  0.332  0.240  0.600 [2 per cell]

(3)
Compound: ZnCu
Source: the Open Quantum Materials Database
Functional: PBE-GGA
Structure: relaxed

Summary:
E = -2.550 eV/atom
Density = 8.38 g cm⁻³

Lattice parameters (Å, degrees): 2.649 4.294 4.495 90.00 90.00 90.00
Space group Pmmn (No. 59, origin choice 2)
Unique sites:
Zn  0.250  0.250  0.089 [2 per cell]
Cu  0.250  0.750  0.417 [2 per cell]

(4)
Compound: ErI2
Source: the Open Quantum Materials Database
Functional: PBE-GGA
Structure: relaxed

Summary:
E = -2.134 eV/atom
Density = 6.34 g cm⁻³

Lattice parameters (Å, degrees): 9.592 9.592 9.592 90.00 90.00 90.00
Space group Fd-3m (No. 227, origin choice 2)
Unique sites:
Er  0.125  0.125  0.125 [8 per cell]
I  0.000  0.000  0.500 [16 per cell]

(5)
Compound: Er4Tm3Cu2Te2
Source: the Open Quantum Materials Database
Functional: PBE-GGA
Structure: relaxed

Summary:
E = -4.695 eV/atom
Density = 9.04 g cm⁻³

Lattice parameters (Å, degrees): 3.920 15.348 9.511 90.00 90.00 90.00
Space group Imm2 (No. 44)
Unique sites:
Er  0.000  0.130  0.000 [4 per cell]
Er  0.000  0.356  0.151 [4 per cell]
Tm  0.000  0.000  0.416 [2 per cell]
Tm  0.000  0.315  0.795 [4 per cell]
Cu  0.000  0.237  0.489 [4 per cell]
Te  0.000  0.000  0.754 [2 per cell]
Te  0.000  0.500  0.652 [2 per cell]

(6)
Compound: YCdAg2
Source: the Open Quantum Materials Database
Functional: PBE-GGA
Structure: relaxed

Summary:
E = -3.482 eV/atom
Density = 8.10 g cm⁻³

Lattice parameters (Å, degrees): 6.994 6.994 6.994 90.00 90.00 90.00
Space group F-43m (No. 216)
Unique sites:
Y  0.000  0.000  0.000 [4 per cell]
Cd  0.250  0.250  0.250 [4 per cell]
Ag  0.000  0.000  0.500 [4 per cell]
Ag  0.250  0.250  0.750 [4 per cell]

(7)
Compound: SmDyAl2
Source: the Open Quantum Materials Database
Functional: PBE-GGA
Structure: relaxed

Summary:
E = -4.570 eV/atom
Density = 5.79 g cm⁻³

Lattice parameters (Å, degrees): 4.187 4.458 11.275 90.00 90.00 90.00
Space group Amm2 (No. 38)
Unique sites:
Sm  0.000  0.000  0.000 [2 per cell]
Dy  0.500  0.000  0.281 [2 per cell]
Al  0.000  0.000  0.715 [2 per cell]
Al  0.500  0.000  0.571 [2 per cell]

(8)
Compound: HoAgGeTeS2
Source: the Open Quantum Materials Database
Functional: PBE-GGA
Structure: relaxed

Summary:
E = -4.616 eV/atom
Density = 6.12 g cm⁻³

Lattice parameters (Å, degrees): 3.947 13.256 11.149 90.00 90.00 90.00
Space group Cmcm (No. 63)
Unique sites:
Ho  0.000  0.000  0.000 [4 per cell]
Ag  0.000  0.478  0.250 [4 per cell]
Ge  0.000  0.205  0.750 [4 per cell]
Te  0.000  0.130  0.250 [4 per cell]
S  0.000  0.369  0.068 [8 per cell]

(9)
Compound: HfNb3Sn2C2
Source: the Open Quantum Materials Database
Functional: PBE-GGA
Structure: relaxed

Summary:
E = -8.839 eV/atom
Density = 9.10 g cm⁻³

Lattice parameters (Å, degrees): 3.2737 3.2737 14.1308 90.00 90.00 120.00
Space group P3m1 (No. 156)
Unique sites:
Hf  0.0000  0.0000  0.0000 [1 per cell]
Nb  0.0000  0.0000  0.3350 [1 per cell]
Nb  0.3333  0.6667  0.4979 [1 per cell]
Nb  0.3333  0.6667  0.8279 [1 per cell]
Sn  0.0000  0.0000  0.6631 [1 per cell]
Sn  0.3333  0.6667  0.1716 [1 per cell]
C  0.6667  0.3333  0.4164 [1 per cell]
C  0.6667  0.3333  0.9131 [1 per cell]

(10)
Compound: YHfGa
Source: the Open Quantum Materials Database
Functional: PBE-GGA
Structure: relaxed

Summary:
E = -5.855 eV/atom
Density = 6.93 g cm⁻³
Distance to the lowest polymorph of the same formula = 0 meV per atom

Lattice parameters (Å, degrees): 6.863 6.863 6.863 90.00 90.00 90.00
Space group F-43m (No. 216)
Unique sites:
Y  0.000  0.000  0.000 [4 per cell]
Hf  0.250  0.250  0.750 [4 per cell]
Ga  0.000  0.000  0.500 [4 per cell]

(11)
Compound: LiCd3PS6
Source: the Open Quantum Materials Database
Functional: PBE-GGA
Structure: relaxed

Summary:
E = -3.783 eV/atom
Density = 3.80 g cm⁻³

Lattice parameters (Å, degrees): 12.325 6.957 12.381 90.00 110.73 90.00
Space group Cc (No. 9)
Unique sites:
Li  0.000  0.184  0.000 [4 per cell]
Cd  0.137  0.434  0.351 [4 per cell]
Cd  0.286  0.092  0.852 [4 per cell]
Cd  0.311  0.364  0.153 [4 per cell]
P  0.063  0.265  0.594 [4 per cell]
S  0.018  0.028  0.668 [4 per cell]
S  0.175  0.255  0.962 [4 per cell]
S  0.242  0.257  0.645 [4 per cell]
S  0.316  0.260  0.348 [4 per cell]
S  0.494  0.274  0.917 [4 per cell]
S  0.497  0.012  0.636 [4 per cell]

(12)
Compound: IrCl
Source: the Open Quantum Materials Database
Functional: PBE-GGA
Structure: relaxed

Summary:
E = -3.976 eV/atom
Density = 11.53 g cm⁻³
Distance to the lowest polymorph of the same formula = 302 meV per atom

Lattice parameters (Å, degrees): 5.080 5.080 5.080 90.00 90.00 90.00
Space group Fm-3m (No. 225)
Unique sites:
Ir  0.000  0.000  0.000 [4 per cell]
Cl  0.000  0.000  0.500 [4 per cell]